[1]
DFT (meta-GGA SCAN) results for a crystal of MnRu relaxed with PBEsol.

Computed properties:
DFT total energy   -26.5438 eV per atom
Volume   11.874 Å³ per atom
Energy of formation   -0.003 eV per atom
Magnetic moment   0.5 μB/f.u.

Unit cell a=2.6089 b=4.8169 c=6.0690 alpha=103.45 beta=90.00 gamma=105.71
Last column: nearest neighbours and their distance in Å.
Fractional positions:
Mn (0.3927, 0.7853, 0.2723)  5 Mn 2.47-2.61, 7 Ru 2.52-2.56
Mn (0.9970, 0.9939, 0.0023)  6 Ru 2.45-2.61, 6 Mn 2.47-2.61
Mn (0.3332, 0.6664, 0.6695)  7 Ru 2.47-2.59, 5 Mn 2.57-2.61
Ru (0.6708, 0.3416, 0.3343)  7 Mn 2.52-2.61, 5 Ru 2.54-2.61
Ru (0.0472, 0.0945, 0.6104)  6 Mn 2.47-2.59, 6 Ru 2.60-2.63
Ru (0.7258, 0.4516, 0.9445)  7 Mn 2.45-2.59, 5 Ru 2.54-2.63

***

[2]
DFT (meta-GGA SCAN) results for a crystal of Mn3Ru relaxed with PBEsol.

Computed properties:
DFT total energy   -22.3638 eV per atom
Volume   11.109 Å³ per atom
Energy of formation   0.034 eV per atom
Magnetic moment   1.7 μB/f.u.

Unit cell a=2.5479 b=4.0013 c=4.3588 alpha=90.00 beta=90.00 gamma=90.00
Last column: nearest neighbours and their distance in Å.
Fractional positions:
Ru (0.0000, 0.5000, 0.3350)  10 Mn 2.49-2.53, 2 Ru 2.55
Mn (0.5000, 0.5000, 0.8349)  8 Mn 2.45-2.55, 4 Ru 2.52-2.53
Mn (0.5000, 0.0000, 0.5094)  8 Mn 2.44-2.61, 4 Ru 2.49
Mn (0.0000, 0.0000, 0.9874)  10 Mn 2.44-2.61, 2 Ru 2.51

***

[3]
DFT (meta-GGA SCAN) results for a crystal of Mn2Ru relaxed with PBEsol.

Computed properties:
DFT total energy   -23.7305 eV per atom
Volume   11.396 Å³ per atom
Energy of formation   0.048 eV per atom
Magnetic moment   0.2 μB/f.u.

Unit cell a=2.5719 b=4.7638 c=5.9634 alpha=103.11 beta=90.00 gamma=105.66
Last column: nearest neighbours and their distance in Å.
Fractional positions:
Ru (0.7250, 0.4501, 0.9495)  8 Mn 2.46-2.53, 4 Ru 2.57-2.63
Ru (0.0506, 0.1011, 0.6030)  8 Mn 2.48-2.57, 4 Ru 2.57-2.63
Mn (0.0001, 0.0002, 0.0095)  8 Mn 2.45-2.61, 4 Ru 2.46-2.57
Mn (0.6696, 0.3392, 0.3327)  3 Ru 2.46-2.50, 9 Mn 2.48-2.57
Mn (0.3895, 0.7790, 0.2765)  8 Mn 2.45-2.57, 4 Ru 2.50-2.52
Mn (0.3319, 0.6637, 0.6621)  5 Ru 2.48-2.52, 7 Mn 2.48-2.61

***

[4]
DFT (meta-GGA SCAN) results for a crystal of Mn3Ru relaxed with PBEsol.

Computed properties:
DFT total energy   -22.3311 eV per atom
Volume   11.129 Å³ per atom
Energy of formation   0.067 eV per atom
Magnetic moment   0.5 μB/f.u.

Unit cell a=2.5496 b=4.3540 c=4.7376 alpha=117.36 beta=105.61 gamma=90.00
Last column: nearest neighbours and their distance in Å.
Fractional positions:
Ru (0.0000, 0.6595, 0.0000)  10 Mn 2.46-2.54, 2 Ru 2.55
Mn (0.7564, 0.7609, 0.5128)  9 Mn 2.44-2.55, 3 Ru 2.46-2.51
Mn (0.5000, 0.1648, 0.0000)  8 Mn 2.44-2.55, 4 Ru 2.50-2.54
Mn (0.2436, 0.2481, 0.4872)  9 Mn 2.44-2.55, 3 Ru 2.46-2.51

***

[5]
DFT (meta-GGA SCAN) results for a crystal of SrMn2RuS relaxed with PBEsol.

Computed properties:
Raw formation energy   9.1 eV per formula unit
DFT total energy   -18.8195 eV per atom
Volume   24.455 Å³ per atom
Magnetic moment   10.7 μB/f.u.

Unit cell a=5.0372 b=4.9268 c=4.9268 alpha=90.00 beta=90.00 gamma=90.00
Last column: nearest neighbours and their distance in Å.
Fractional positions:
Mn (0.0000, 0.0000, 0.5000)  2 Sr 2.46
Mn (0.0000, 0.5000, 0.0000)  2 Sr 2.46
Ru (0.5000, 0.5000, 0.5000)  4 S 3.48, 8 Mn 3.52
S (0.5000, 0.0000, 0.0000)  2 Sr 2.52
Sr (0.0000, 0.0000, 0.0000)  4 Mn 2.46, 2 S 2.52

***

[6]
DFT (meta-GGA SCAN) results for a crystal of YMn2RuS relaxed with PBEsol.

Computed properties:
Raw formation energy   7.1 eV per formula unit
DFT total energy   -20.3421 eV per atom
Volume   22.000 Å³ per atom
Magnetic moment   9.7 μB/f.u.

Unit cell a=4.8190 b=4.7776 c=4.7776 alpha=90.00 beta=90.00 gamma=90.00
Last column: nearest neighbours and their distance in Å.
Fractional positions:
Y (0.0000, 0.0000, 0.0000)  4 Mn 2.39, 2 S 2.41
S (0.5000, 0.0000, 0.0000)  2 Y 2.41
Mn (0.0000, 0.0000, 0.5000)  2 Y 2.39
Mn (0.0000, 0.5000, 0.0000)  2 Y 2.39
Ru (0.5000, 0.5000, 0.5000)  4 S 3.38, 8 Mn 3.39

***

[7]
DFT (meta-GGA SCAN) results for a crystal of Mn2SbRu relaxed with PBEsol.

Computed properties:
Raw formation energy   0.0 eV per formula unit
DFT total energy   -27.1492 eV per atom
Volume   13.743 Å³ per atom
Magnetic moment   7.2 μB/f.u.

Unit cell a=3.7860 b=3.7860 c=4.6772 alpha=113.87 beta=113.87 gamma=90.00
Last column: nearest neighbours and their distance in Å.
Fractional positions:
Sb (0.5000, 0.5000, 0.0000)  4 Ru 2.68, 8 Mn 2.69
Ru (0.0000, 0.0000, 0.0000)  4 Sb 2.68, 8 Mn 2.69
Mn (0.7500, 0.2500, 0.5000)  4 Mn 2.68, 4 Sb 2.69, 4 Ru 2.69
Mn (0.2500, 0.7500, 0.5000)  4 Mn 2.68, 4 Sb 2.69, 4 Ru 2.69

***

[8]
DFT (meta-GGA SCAN) results for a crystal of MnSb2Ru relaxed with PBEsol.

Computed properties:
Raw formation energy   1.3 eV per formula unit
DFT total energy   -31.5640 eV per atom
Volume   16.005 Å³ per atom
Magnetic moment   0.3 μB/f.u.

Unit cell a=3.1691 b=3.1691 c=6.3747 alpha=90.00 beta=90.00 gamma=90.00
Last column: nearest neighbours and their distance in Å.
Fractional positions:
Ru (0.5000, 0.5000, 0.5000)  8 Sb 2.78
Sb (0.0000, 0.0000, 0.2409)  4 Mn 2.72, 4 Ru 2.78
Sb (0.0000, 0.0000, 0.7591)  4 Mn 2.72, 4 Ru 2.78
Mn (0.5000, 0.5000, 0.0000)  8 Sb 2.72

***

> Which formula does entry 7 have?

Mn2SbRu

***

> Which value of DFT total energy does entry 7 give?

-27.1492 eV per atom

***

> Which of these has the lowest magnetic moment?

Mn2Ru